Crystalline ZrTaRu2 at its relaxed geometry. Source: Alexandria via LeMat-Bulk, functional PBE-GGA.

abc: 4.497 4.497 5.426
angles: 77.91 77.91 40.78
Fractional positions:
Ru (0.006, 0.006, 0.981)
Ru (0.494, 0.494, 0.519)
Ta (0.750, 0.750, 0.750)
Zr (0.250, 0.250, 0.250)

## Properties
Crystal system: monoclinic

***

Crystalline ZrNbVP2 at its relaxed geometry. Source: Alexandria via LeMat-Bulk, functional PBE-GGA.

abc: 4.872 4.520 4.872
angles: 90.00 90.00 90.00
Last column: magnetic moment on the atom in μB.
Fractional positions:
P (0.500, 0.000, 0.000)  -0.01
P (0.000, 0.000, 0.500)  -0.02
Zr (0.000, 0.000, 0.000)  0.02
Nb (0.500, 0.500, 0.500)  0.37
V (0.000, 0.500, 0.000)  1.44

## Properties
Crystal system: tetragonal
Energy above the lowest structure with this stoichiometry: 609 meV per atom

***

The following formation enthalpy at 0 K values (in eV per atom) correspond, in order, to the records above: -0.105; 1.191.